Entry 1:
## CaMg2Zn (PBEsol)

Data for an optimized crystal structure of CaMg2Zn.

Values from the calculation:
Calculated volume in Å³/cell: 187.6
Size of the total moment in μB/cell: 0.00
Energy relative to the elements in eV per formula unit: -0.38
Theoretical density in g/cm³: 2.7

Cell lengths 5.0921, 5.0921, 8.3543 Å; angles 90.00, 90.00, 120.00 degrees
Closest atoms and distances in Å follow each position.
Fractional positions:
Ca (0.0000, 0.0000, 0.2500)  3 Zn 2.94
Ca (0.0000, 0.0000, 0.7500)  3 Zn 2.94
Mg (0.3333, 0.6667, 0.0686)  1 Zn 2.66
Mg (0.3333, 0.6667, 0.4314)  1 Zn 2.66
Mg (0.6667, 0.3333, 0.5686)  1 Zn 2.66
Mg (0.6667, 0.3333, 0.9314)  1 Zn 2.66
Zn (0.3333, 0.6667, 0.7500)  2 Mg 2.66, 3 Ca 2.94
Zn (0.6667, 0.3333, 0.2500)  2 Mg 2.66, 3 Ca 2.94

***

Entry 2:
## Ca2MgZn (PBEsol)

Data for an optimized crystal structure of Ca2MgZn.

Values from the calculation:
Calculated volume in Å³/cell: 216.7
Size of the total moment in μB/cell: 0.00
Energy relative to the elements in eV per formula unit: -0.44
Theoretical density in g/cm³: 2.6

Cell lengths 3.6511, 5.4109, 10.9675 Å; angles 90.00, 90.00, 90.00 degrees
Closest atoms and distances in Å follow each position.
Fractional positions:
Ca (0.0000, 0.0000, 0.0000)  4 Zn 3.28, 4 Ca 3.49-3.65, 4 Mg 3.59-3.62
Ca (0.0000, 0.5000, 0.2016)  2 Zn 3.09, 4 Mg 3.39
Ca (0.5000, 0.0000, 0.7016)  2 Zn 3.09, 4 Mg 3.39
Ca (0.5000, 0.5000, 0.5000)  4 Zn 3.28, 4 Ca 3.49-3.65, 4 Mg 3.59-3.62
Mg (0.0000, 0.5000, 0.7849)  2 Zn 2.77
Mg (0.5000, 0.0000, 0.2849)  2 Zn 2.77
Zn (0.0000, 0.0000, 0.4747)  2 Mg 2.77, 2 Ca 3.09
Zn (0.5000, 0.5000, 0.9747)  2 Mg 2.77, 2 Ca 3.09

***

Entry 3:
## CaMgZn (PBEsol)

Data for an optimized crystal structure of CaMgZn.

Values from the calculation:
Calculated volume in Å³/cell: 279.4
Size of the total moment in μB/cell: 0.00
Energy relative to the elements in eV per formula unit: -0.46
Theoretical density in g/cm³: 3.1

Cell lengths 6.1889, 4.9889, 9.0480 Å; angles 90.00, 90.00, 90.00 degrees
Closest atoms and distances in Å follow each position.
Fractional positions:
Ca (0.1854, 0.2500, 0.0775)  5 Zn 3.00-3.11, 2 Mg 3.31
Ca (0.3146, 0.7500, 0.5775)  5 Zn 3.00-3.11, 2 Mg 3.31
Ca (0.6854, 0.2500, 0.4225)  5 Zn 3.00-3.11, 2 Mg 3.31
Ca (0.8146, 0.7500, 0.9225)  5 Zn 3.00-3.11, 2 Mg 3.31
Mg (0.0239, 0.2500, 0.7132)  3 Zn 2.93-3.01, 2 Mg 3.17
Mg (0.4761, 0.7500, 0.2132)  3 Zn 2.93-3.01, 2 Mg 3.17
Mg (0.5239, 0.2500, 0.7868)  3 Zn 2.93-3.01, 2 Mg 3.17
Mg (0.9761, 0.7500, 0.2868)  3 Zn 2.93-3.01, 2 Mg 3.17
Zn (0.1830, 0.2500, 0.4086)  3 Mg 2.93-3.01, 5 Ca 3.00-3.11
Zn (0.3170, 0.7500, 0.9086)  3 Mg 2.93-3.01, 5 Ca 3.00-3.11
Zn (0.6830, 0.2500, 0.0914)  3 Mg 2.93-3.01, 5 Ca 3.00-3.11
Zn (0.8170, 0.7500, 0.5914)  3 Mg 2.93-3.01, 5 Ca 3.00-3.11

***

Entry 4:
## CaMg2Zn (PBEsol)

Data for an optimized crystal structure of CaMg2Zn.

Values from the calculation:
Calculated volume in Å³/cell: 93.9
Size of the total moment in μB/cell: 0.00
Energy relative to the elements in eV per formula unit: -0.19
Theoretical density in g/cm³: 2.7

Cell lengths 4.4084, 4.4084, 4.8327 Å; angles 90.00, 90.00, 90.00 degrees
Closest atoms and distances in Å follow each position.
Fractional positions:
Ca (0.0000, 0.0000, 0.0000)  4 Zn 3.12, 8 Mg 3.27
Mg (0.0000, 0.5000, 0.5000)  4 Mg 3.12, 4 Ca 3.27, 4 Zn 3.27
Mg (0.5000, 0.0000, 0.5000)  4 Mg 3.12, 4 Ca 3.27, 4 Zn 3.27
Zn (0.5000, 0.5000, 0.0000)  4 Ca 3.12, 8 Mg 3.27

***

Entry 5:
## CaMgZn (PBEsol)

Data for an optimized crystal structure of CaMgZn.

Values from the calculation:
Calculated volume in Å³/cell: 277.4
Size of the total moment in μB/cell: 0.00
Energy relative to the elements in eV per formula unit: -0.52
Theoretical density in g/cm³: 3.1

Cell lengths 9.3649, 5.8306, 5.8306 Å; angles 60.61, 90.00, 90.00 degrees
Closest atoms and distances in Å follow each position.
Fractional positions:
Ca (0.1759, 0.0000, 0.0000)  4 Ca 3.30-3.58, 5 Mg 3.33-3.47, 7 Zn 3.35-3.45
Ca (0.3013, 0.3349, 0.3349)  5 Zn 3.22-3.48, 7 Mg 3.43-3.47, 3 Ca 3.57-3.58
Ca (0.6987, 0.3349, 0.3349)  5 Zn 3.22-3.48, 7 Mg 3.43-3.47, 3 Ca 3.57-3.58
Ca (0.8241, 0.0000, 0.0000)  4 Ca 3.30-3.58, 5 Mg 3.33-3.47, 7 Zn 3.35-3.45
Mg (0.2305, 0.6728, 0.6728)  4 Zn 2.81-3.01, 2 Mg 3.07
Mg (0.5000, 0.3305, 0.8351)  2 Zn 2.88-2.95, 4 Mg 2.92-3.07
Mg (0.5000, 0.8351, 0.3305)  2 Zn 2.88-2.95, 4 Mg 2.92-3.07
Mg (0.7695, 0.6728, 0.6728)  4 Zn 2.81-3.01, 2 Mg 3.07
Zn (0.0000, 0.0274, 0.4863)  2 Zn 2.70-2.71, 2 Mg 2.81
Zn (0.0000, 0.4863, 0.0274)  2 Zn 2.70-2.71, 2 Mg 2.81
Zn (0.0000, 0.4907, 0.4907)  2 Zn 2.71, 2 Mg 2.83
Zn (0.5000, 0.8361, 0.8361)  6 Mg 2.88-3.01

***

Entry 6:
## Ca2MgZn9 (PBEsol)

Data for an optimized crystal structure of Ca2MgZn9.

Values from the calculation:
Calculated volume in Å³/cell: 210.3
Size of the total moment in μB/cell: 0.00
Energy relative to the elements in eV per formula unit: -1.85
Theoretical density in g/cm³: 5.5

Cell lengths 9.0138, 9.0138, 9.0138 Å; angles 34.57, 34.57, 34.57 degrees
Closest atoms and distances in Å follow each position.
Fractional positions:
Ca (0.1417, 0.1417, 0.1417)  12 Zn 3.08-3.18, 3 Ca 3.34
Ca (0.8583, 0.8583, 0.8583)  12 Zn 3.08-3.18, 3 Ca 3.34
Mg (0.0000, 0.0000, 0.0000)  18 Zn 3.09-3.39
Zn (0.0779, 0.5836, 0.5836)  7 Zn 2.58-2.71
Zn (0.3342, 0.3342, 0.3342)  6 Zn 2.58-2.59
Zn (0.4164, 0.4164, 0.9221)  7 Zn 2.58-2.71
Zn (0.4164, 0.9221, 0.4164)  7 Zn 2.58-2.71
Zn (0.5000, 0.5000, 0.5000)  6 Zn 2.66
Zn (0.5836, 0.0779, 0.5836)  7 Zn 2.58-2.71
Zn (0.5836, 0.5836, 0.0779)  7 Zn 2.58-2.71
Zn (0.6658, 0.6658, 0.6658)  6 Zn 2.58-2.59
Zn (0.9221, 0.4164, 0.4164)  7 Zn 2.58-2.71

***

Entry 7:
## Ca2MgZn2 (PBEsol)

Data for an optimized crystal structure of Ca2MgZn2.

Values from the calculation:
Calculated volume in Å³/cell: 126.2
Size of the total moment in μB/cell: 0.00
Energy relative to the elements in eV per formula unit: -0.59
Theoretical density in g/cm³: 3.1

Cell lengths 4.6618, 4.6618, 6.7071 Å; angles 90.00, 90.00, 120.00 degrees
Closest atoms and distances in Å follow each position.
Fractional positions:
Ca (0.3333, 0.6667, 0.3254)  4 Zn 3.00-3.02
Ca (0.6667, 0.3333, 0.6746)  4 Zn 3.00-3.02
Mg (0.0000, 0.0000, 0.0000)  6 Zn 2.81
Zn (0.3333, 0.6667, 0.8779)  3 Mg 2.81, 4 Ca 3.00-3.02, 3 Zn 3.15
Zn (0.6667, 0.3333, 0.1221)  3 Mg 2.81, 4 Ca 3.00-3.02, 3 Zn 3.15

***

Entry 8:
## CaMgZn (PBEsol)

Data for an optimized crystal structure of CaMgZn.

Values from the calculation:
Calculated volume in Å³/cell: 73.1
Size of the total moment in μB/cell: 0.00
Energy relative to the elements in eV per formula unit: -0.33
Theoretical density in g/cm³: 2.9

Cell lengths 4.7882, 4.7882, 3.6837 Å; angles 90.00, 90.00, 120.00 degrees
Closest atoms and distances in Å follow each position.
Fractional positions:
Ca (0.0000, 0.0000, 0.0000)  6 Mg 3.32, 6 Zn 3.32, 2 Ca 3.68
Mg (0.3333, 0.6667, 0.5000)  3 Zn 2.76
Zn (0.6667, 0.3333, 0.5000)  3 Mg 2.76

***

Entry 9:
## CaMg2Zn (PBEsol)

Data for an optimized crystal structure of CaMg2Zn.

Values from the calculation:
Calculated volume in Å³/cell: 358.1
Size of the total moment in μB/cell: 0.00
Energy relative to the elements in eV per formula unit: -0.37
Theoretical density in g/cm³: 2.9

Cell lengths 7.1015, 7.1015, 7.1015 Å; angles 90.00, 90.00, 90.00 degrees
Closest atoms and distances in Å follow each position.
Fractional positions:
Ca (0.0000, 0.0000, 0.0000)  4 Mg 3.08, 4 Zn 3.08
Ca (0.0000, 0.5000, 0.5000)  4 Mg 3.08, 4 Zn 3.08
Ca (0.5000, 0.0000, 0.5000)  4 Mg 3.08, 4 Zn 3.08
Ca (0.5000, 0.5000, 0.0000)  4 Mg 3.08, 4 Zn 3.08
Mg (0.0000, 0.0000, 0.5000)  4 Zn 3.08, 4 Mg 3.08
Mg (0.0000, 0.5000, 0.0000)  4 Zn 3.08, 4 Mg 3.08
Mg (0.2500, 0.2500, 0.2500)  4 Mg 3.08, 4 Ca 3.08
Mg (0.2500, 0.7500, 0.7500)  4 Mg 3.08, 4 Ca 3.08
Mg (0.5000, 0.0000, 0.0000)  4 Zn 3.08, 4 Mg 3.08
Mg (0.5000, 0.5000, 0.5000)  4 Zn 3.08, 4 Mg 3.08
Mg (0.7500, 0.2500, 0.7500)  4 Mg 3.08, 4 Ca 3.08
Mg (0.7500, 0.7500, 0.2500)  4 Mg 3.08, 4 Ca 3.08
Zn (0.2500, 0.2500, 0.7500)  4 Ca 3.08, 4 Mg 3.08
Zn (0.2500, 0.7500, 0.2500)  4 Ca 3.08, 4 Mg 3.08
Zn (0.7500, 0.2500, 0.2500)  4 Ca 3.08, 4 Mg 3.08
Zn (0.7500, 0.7500, 0.7500)  4 Ca 3.08, 4 Mg 3.08

***

Entry 10:
## Ca3Mg3Zn (PBEsol)

Data for an optimized crystal structure of Ca3Mg3Zn.

Values from the calculation:
Calculated volume in Å³/cell: 392.5
Size of the total moment in μB/cell: 0.00
Energy relative to the elements in eV per formula unit: -0.40
Theoretical density in g/cm³: 2.2

Cell lengths 9.7245, 9.7245, 4.7920 Å; angles 90.00, 90.00, 120.00 degrees
Closest atoms and distances in Å follow each position.
Fractional positions:
Ca (0.1579, 0.3158, 0.2500)  1 Zn 2.95
Ca (0.1579, 0.8421, 0.2500)  1 Zn 2.95
Ca (0.3158, 0.1579, 0.7500)  1 Zn 2.95
Ca (0.6842, 0.8421, 0.2500)  1 Zn 2.95
Ca (0.8421, 0.1579, 0.7500)  1 Zn 2.95
Ca (0.8421, 0.6842, 0.7500)  1 Zn 2.95
Mg (0.1223, 0.5611, 0.7500)  2 Zn 2.98, 4 Mg 3.08-3.16
Mg (0.4389, 0.5611, 0.7500)  2 Zn 2.98, 4 Mg 3.08-3.16
Mg (0.4389, 0.8777, 0.7500)  2 Zn 2.98, 4 Mg 3.08-3.16
Mg (0.5611, 0.1223, 0.2500)  2 Zn 2.98, 4 Mg 3.08-3.16
Mg (0.5611, 0.4389, 0.2500)  2 Zn 2.98, 4 Mg 3.08-3.16
Mg (0.8777, 0.4389, 0.2500)  2 Zn 2.98, 4 Mg 3.08-3.16
Zn (0.3333, 0.6667, 0.2500)  3 Ca 2.95, 6 Mg 2.98
Zn (0.6667, 0.3333, 0.7500)  3 Ca 2.95, 6 Mg 2.98

***

Entry 11:
## Ca2MgZn2 (PBEsol)

Data for an optimized crystal structure of Ca2MgZn2.

Values from the calculation:
Calculated volume in Å³/cell: 246.0
Size of the total moment in μB/cell: 0.00
Energy relative to the elements in eV per formula unit: -0.94
Theoretical density in g/cm³: 3.2

Cell lengths 7.6865, 7.6865, 4.1631 Å; angles 90.00, 90.00, 90.00 degrees
Closest atoms and distances in Å follow each position.
Fractional positions:
Ca (0.1754, 0.3246, 0.0000)  6 Zn 3.05-3.11
Ca (0.3246, 0.8246, 0.0000)  6 Zn 3.05-3.11
Ca (0.6754, 0.1754, 0.0000)  6 Zn 3.05-3.11
Ca (0.8246, 0.6754, 0.0000)  6 Zn 3.05-3.11
Mg (0.0000, 0.0000, 0.5000)  4 Zn 3.07
Mg (0.5000, 0.5000, 0.5000)  4 Zn 3.07
Zn (0.1196, 0.6196, 0.5000)  1 Zn 2.60
Zn (0.3804, 0.1196, 0.5000)  1 Zn 2.60
Zn (0.6196, 0.8804, 0.5000)  1 Zn 2.60
Zn (0.8804, 0.3804, 0.5000)  1 Zn 2.60

***

Entry 12:
## CaMg2Zn (PBEsol)

Data for an optimized crystal structure of CaMg2Zn.

Values from the calculation:
Calculated volume in Å³/cell: 373.0
Size of the total moment in μB/cell: 0.00
Energy relative to the elements in eV per formula unit: -0.44
Theoretical density in g/cm³: 2.7

Cell lengths 4.8197, 4.8197, 16.0557 Å; angles 90.00, 90.00, 90.00 degrees
Closest atoms and distances in Å follow each position.
Fractional positions:
Ca (0.0000, 0.0000, 0.1435)  4 Zn 2.95
Ca (0.0000, 0.0000, 0.8565)  4 Zn 2.95
Ca (0.5000, 0.5000, 0.3565)  4 Zn 2.95
Ca (0.5000, 0.5000, 0.6435)  4 Zn 2.95
Mg (0.0000, 0.0000, 0.3561)  4 Zn 2.95
Mg (0.0000, 0.0000, 0.6439)  4 Zn 2.95
Mg (0.0000, 0.5000, 0.0000)  4 Ca 3.33, 8 Mg 3.34-3.41
Mg (0.0000, 0.5000, 0.5000)  4 Ca 3.33, 8 Mg 3.34-3.41
Mg (0.5000, 0.0000, 0.0000)  4 Ca 3.33, 8 Mg 3.34-3.41
Mg (0.5000, 0.0000, 0.5000)  4 Ca 3.33, 8 Mg 3.34-3.41
Mg (0.5000, 0.5000, 0.1439)  4 Zn 2.95
Mg (0.5000, 0.5000, 0.8561)  4 Zn 2.95
Zn (0.0000, 0.5000, 0.2500)  4 Mg 2.95, 4 Ca 2.95
Zn (0.0000, 0.5000, 0.7500)  4 Mg 2.95, 4 Ca 2.95
Zn (0.5000, 0.0000, 0.2500)  4 Mg 2.95, 4 Ca 2.95
Zn (0.5000, 0.0000, 0.7500)  4 Mg 2.95, 4 Ca 2.95